Below is crystalline CaTb2CoO5 at its relaxed geometry, with properties calculated at the GGA+U level.

Cell: 6.4629 6.4629 5.5352 Å, 90.00 90.00 90.00°
With the nearest neighbours (Å) after each atom.
Fractional coordinates of all 18 atoms:
Ca  0.0000  0.0000  0.0000  10 O 2.77-2.82
Ca  0.5000  0.5000  0.0000  10 O 2.77-2.82
Tb  0.1727  0.3273  0.5000  8 O 2.23-2.50
Tb  0.3273  0.8273  0.5000  8 O 2.23-2.50
Tb  0.6727  0.1727  0.5000  8 O 2.23-2.50
Tb  0.8273  0.6727  0.5000  8 O 2.23-2.50
Co  0.0000  0.5000  0.0000  4 O 1.85
Co  0.5000  0.0000  0.0000  4 O 1.85
O  0.0000  0.0000  0.5000  4 Tb 2.39
O  0.1412  0.6412  0.2398  1 Co 1.85
O  0.1412  0.6412  0.7602  1 Co 1.85
O  0.3588  0.1412  0.2398  1 Co 1.85
O  0.3588  0.1412  0.7602  1 Co 1.85
O  0.5000  0.5000  0.5000  4 Tb 2.39
O  0.6412  0.8588  0.2398  1 Co 1.85
O  0.6412  0.8588  0.7602  1 Co 1.85
O  0.8588  0.3588  0.2398  1 Co 1.85
O  0.8588  0.3588  0.7602  1 Co 1.85

## Properties
Volume = 12.84 A^3/atom
Crystal system = tetragonal
Energy = -7.23 eV per atom